Entry 1:
A plane-wave DFT calculation with PBE-GGA was carried out for a geometry-optimized Dy2YTh3Te6 structure.

The value obtained for the formation energy (no corrections) is -1.14 eV/atom. The density of states at the Fermi level comes out at 19.73 states/eV per cell. The magnetization comes out at 0.0 Bohr magnetons per cell. Its raw total energy is -5.876 eV per atom.

The structure belongs to space group C2/m (No. 12); the cell edges are 19.924, 4.251 and 9.180 Å and the angles 90.00°, 110.83° and 90.00°. The distinct sites, in fractional coordinates, are Dy at (0.167, 0.000, 0.333), Y at (0.000, 0.500, 0.000), Th at (0.000, 0.500, 0.500), Th at (0.166, 0.000, 0.832), Te at (0.004, 0.000, 0.243), Te at (0.164, 0.500, 0.091) and Te at (0.170, 0.500, 0.575).

---

Entry 2:
A plane-wave DFT calculation with PBE-GGA was carried out for a geometry-optimized Dy2TiTe4 structure.

The value obtained for the formation energy (no corrections) is -1.13 eV/atom. The density of states at the Fermi level comes out at 9.30 states/eV per cell. The magnetization comes out at 3.2 Bohr magnetons per cell. Its raw total energy is -5.367 eV per atom.

The structure belongs to space group C2/m (No. 12); the cell edges are 15.446, 4.226 and 7.530 Å and the angles 90.00°, 118.89° and 90.00°. The distinct sites, in fractional coordinates, are Dy at (0.243, 0.000, 0.229), Ti at (0.000, 0.500, 0.500), Te at (0.110, 0.500, 0.933) and Te at (0.119, 0.000, 0.458).

---

Entry 3:
A plane-wave DFT calculation with PBE-GGA was carried out for a geometry-optimized Dy2TiTe structure.

The value obtained for the formation energy (no corrections) is 0.11 eV/atom. The density of states at the Fermi level comes out at 12.01 states/eV per cell. The magnetization comes out at 5.3 Bohr magnetons per cell. Its raw total energy is -4.949 eV per atom.

The structure belongs to space group R-3m (No. 166, hexagonal axes); the cell edges are 3.6741, 3.6741 and 30.5226 Å and the angles 90.00°, 90.00° and 120.00°. The distinct sites, in fractional coordinates, are Dy at (0.0000, 0.0000, 0.0962), Ti at (0.0000, 0.0000, 0.0000) and Te at (0.0000, 0.0000, 0.5000).

---

Entry 4:
A plane-wave DFT calculation with PBE-GGA was carried out for a geometry-optimized Dy2TiTl3Te6 structure.

The value obtained for the formation energy (no corrections) is -0.85 eV/atom. The density of states at the Fermi level comes out at 12.87 states/eV per cell. The magnetization comes out at 2.0 Bohr magnetons per cell. Its raw total energy is -4.435 eV per atom.

The structure belongs to space group C2/m (No. 12); the cell edges are 7.516, 12.994 and 8.542 Å and the angles 90.00°, 107.10° and 90.00°. The distinct sites, in fractional coordinates, are Dy at (0.000, 0.165, 0.000), Ti at (0.000, 0.500, 0.000), Tl at (0.000, 0.000, 0.500), Tl at (0.000, 0.325, 0.500), Te at (0.225, 0.343, 0.205) and Te at (0.243, 0.500, 0.788).

---

Entry 5:
A plane-wave DFT calculation with PBE-GGA was carried out for a geometry-optimized DyTl3Te3 structure.

The value obtained for the formation energy (no corrections) is -0.72 eV/atom. The magnetization comes out at 0.0 Bohr magnetons per cell. Its raw total energy is -3.733 eV per atom.

The structure belongs to space group P2_1/m (No. 11); the cell edges are 9.529, 4.511 and 13.116 Å and the angles 90.00°, 90.29° and 90.00°. The distinct sites, in fractional coordinates, are Dy at (0.120, 0.250, 0.122), Tl at (0.129, 0.250, 0.628), Tl at (0.354, 0.750, 0.362), Tl at (0.377, 0.750, 0.870), Te at (0.105, 0.250, 0.885), Te at (0.113, 0.250, 0.358) and Te at (0.344, 0.750, 0.117).

---

Entry 6:
A plane-wave DFT calculation with PBE-GGA was carried out for a geometry-optimized Dy6Tl2Te structure.

The value obtained for the formation energy (no corrections) is -0.44 eV/atom. The density of states at the Fermi level comes out at 14.24 states/eV per cell. The magnetization comes out at 0.0 Bohr magnetons per cell. Its raw total energy is -4.387 eV per atom.

The structure belongs to space group P-62m (No. 189); the cell edges are 8.6468, 8.6468 and 4.0048 Å and the angles 90.00°, 90.00° and 120.00°. The distinct sites, in fractional coordinates, are Dy at (0.0000, 0.3906, 0.0000), Dy at (0.0000, 0.7244, 0.5000), Tl at (0.3333, 0.6667, 0.5000) and Te at (0.0000, 0.0000, 0.0000).